[1]
Below is a relaxed structure of Sc5C4, with properties calculated at the PBE-GGA level.

The structure belongs to space group I4/mmm (No. 139); the cell edges are 7.5205, 7.5205 and 4.7926 Å and the angles 90.00°, 90.00° and 90.00°. The distinct sites, in fractional coordinates, are Sc at (0.0000, 0.0000, 0.0000), Sc at (0.1998, 0.1998, 0.5000) and C at (0.0000, 0.2857, 0.0000).

Its density of states at the Fermi level is 11.7 states/eV/cell. The calculation puts the magnetic moment at 0.00 μB per formula unit. The calculation puts the distance to the lowest polymorph of the same formula at 0.9180 eV per atom.

[2]
Below is a relaxed structure of Sc3C4, with properties calculated at the PBE-GGA level.

The structure belongs to space group P-43m (No. 215); the cell edges are 5.3907, 5.3907 and 5.3907 Å and the angles 90.00°, 90.00° and 90.00°. The distinct sites, in fractional coordinates, are Sc at (0.0000, 0.0000, 0.5000) and C at (0.1021, 0.1021, 0.1021).

Its density of states at the Fermi level is 6.7 states/eV/cell. The calculation puts the magnetic moment at 1.68 μB per formula unit. The calculation puts the distance to the lowest polymorph of the same formula at 1.1703 eV per atom.

[3]
Below is a relaxed structure of Sc3C2, with properties calculated at the PBE-GGA level.

The structure belongs to space group R-3m (No. 166, hexagonal axes); the cell edges are 3.3665, 3.3665 and 25.7721 Å and the angles 90.00°, 90.00° and 120.00°. The distinct sites, in fractional coordinates, are Sc at (0.0000, 0.0000, 0.0000), Sc at (0.0000, 0.0000, 0.2368) and C at (0.0000, 0.0000, 0.3899).

Its density of states at the Fermi level is 3.8 states/eV/cell. The calculation puts the magnetic moment at 0.00 μB per formula unit. The calculation puts the distance to the lowest polymorph of the same formula at 0.0055 eV per atom.